## HoAgAsO (PBE)

Data for crystalline HoAgAsO at its relaxed geometry.

Results
**Electronic total energy**: -5.53 eV/atom

Unit cell a=3.6620 b=7.9076 c=5.9636 alpha=90.00 beta=90.00 gamma=90.00
With the nearest neighbours (Å) after each atom.
Element x y z (fractional)
1 Ho 0.0000 0.2089 0.0000  2 O 2.09
2 Ho 0.0000 0.7911 0.5000  2 O 2.09
3 Ag 0.5000 0.3807 0.5238  1 O 2.24
4 Ag 0.5000 0.6193 0.0238  1 O 2.24
5 As 0.0000 0.1573 0.4995  2 Ag 2.55
6 As 0.0000 0.8427 0.9995  2 Ag 2.55
7 O 0.5000 0.3365 0.0048  2 Ho 2.09, 1 Ag 2.24
8 O 0.5000 0.6635 0.5048  2 Ho 2.09, 1 Ag 2.24

***

## CsOsNO3 (PBE)

Data for crystalline CsOsNO3 at its relaxed geometry.

Results
**Electronic total energy**: -6.84 eV/atom

Unit cell a=8.3054 b=7.1579 c=7.9777 alpha=90.00 beta=90.00 gamma=90.00
With the nearest neighbours (Å) after each atom.
Element x y z (fractional)
1 Cs 0.1312 0.2500 0.1537  8 O 3.02-3.28, 2 N 3.22-3.37
2 Cs 0.3688 0.7500 0.6537  8 O 3.02-3.28, 2 N 3.22-3.37
3 Cs 0.6312 0.2500 0.3463  8 O 3.02-3.28, 2 N 3.22-3.37
4 Cs 0.8688 0.7500 0.8463  8 O 3.02-3.28, 2 N 3.22-3.37
5 Os 0.1197 0.2500 0.6573  1 N 1.70, 3 O 1.76
6 Os 0.3803 0.7500 0.1573  1 N 1.70, 3 O 1.76
7 Os 0.6197 0.2500 0.8427  1 N 1.70, 3 O 1.76
8 Os 0.8803 0.7500 0.3427  1 N 1.70, 3 O 1.76
9 N 0.2080 0.7500 0.0417  1 Os 1.70
10 N 0.2920 0.2500 0.5417  1 Os 1.70
11 N 0.7080 0.7500 0.4583  1 Os 1.70
12 N 0.7920 0.2500 0.9583  1 Os 1.70
13 O 0.0446 0.7500 0.4822  1 Os 1.76
14 O 0.1219 0.0484 0.7842  1 Os 1.76
15 O 0.1219 0.4516 0.7842  1 Os 1.76
16 O 0.3781 0.5484 0.2842  1 Os 1.76
17 O 0.3781 0.9516 0.2842  1 Os 1.76
18 O 0.4554 0.2500 0.9822  1 Os 1.76
19 O 0.5446 0.7500 0.0178  1 Os 1.76
20 O 0.6219 0.0484 0.7158  1 Os 1.76
21 O 0.6219 0.4516 0.7158  1 Os 1.76
22 O 0.8781 0.5484 0.2158  1 Os 1.76
23 O 0.8781 0.9516 0.2158  1 Os 1.76
24 O 0.9554 0.2500 0.5178  1 Os 1.76

***

## PmAlAsO (PBE)

Data for crystalline PmAlAsO at its relaxed geometry.

Results
**Electronic total energy**: -6.14 eV/atom

Unit cell a=4.3572 b=6.4377 c=5.8640 alpha=90.00 beta=90.00 gamma=90.00
With the nearest neighbours (Å) after each atom.
Element x y z (fractional)
1 Pm 0.0000 0.2133 0.0000  2 O 2.43
2 Pm 0.0000 0.7867 0.5000  2 O 2.43
3 Al 0.5000 0.3859 0.6254  2 O 1.86-1.89
4 Al 0.5000 0.6141 0.1254  2 O 1.86-1.89
5 As 0.0000 0.2404 0.4967  2 Al 2.49
6 As 0.0000 0.7596 0.9967  2 Al 2.49
7 O 0.5000 0.3753 0.9475  2 Al 1.86-1.89
8 O 0.5000 0.6247 0.4475  2 Al 1.86-1.89

***

## TbCoCuSi2 (PBE)

Data for crystalline TbCoCuSi2 at its relaxed geometry.

Results
**Electronic total energy**: -5.91 eV/atom

Unit cell a=3.9694 b=3.9694 c=9.6742 alpha=90.00 beta=90.00 gamma=90.00
With the nearest neighbours (Å) after each atom.
Element x y z (fractional)
1 Tb 0.0000 0.0000 0.0000  8 Si 3.05, 4 Co 3.13, 4 Cu 3.13
2 Tb 0.5000 0.5000 0.5000  8 Si 3.05, 4 Co 3.13, 4 Cu 3.13
3 Co 0.0000 0.5000 0.2500  4 Si 2.33
4 Co 0.5000 0.0000 0.7500  4 Si 2.33
5 Cu 0.0000 0.5000 0.7500  4 Si 2.33
6 Cu 0.5000 0.0000 0.2500  4 Si 2.33
7 Si 0.0000 0.0000 0.3755  2 Co 2.33, 2 Cu 2.33, 1 Si 2.41
8 Si 0.0000 0.0000 0.6245  2 Co 2.33, 2 Cu 2.33, 1 Si 2.41
9 Si 0.5000 0.5000 0.1245  2 Co 2.33, 2 Cu 2.33, 1 Si 2.41
10 Si 0.5000 0.5000 0.8755  2 Co 2.33, 2 Cu 2.33, 1 Si 2.41